A plane-wave DFT calculation with GGA-PBEsol was carried out for Ga3PdI after structural relaxation.

Values from the calculation:
The total energy comes out at -3.8595 eV per atom. For the uncorrected formation energy, the calculation gives -0.3106 eV/atom. The density of states at the Fermi level comes out at 0.70 states/eV per cell. Its mass density is 6.3 Mg/m³.

Lattice parameters (Å, degrees): 4.8796 4.8796 4.8796 90.00 90.00 90.00
Last column: nearest neighbours and their distance in Å.
Fractional positions:
Ga 0.0000 0.5000 0.0000  2 Pd 2.44
I 0.5000 0.5000 0.5000  12 Ga 3.45
Pd 0.0000 0.0000 0.0000  6 Ga 2.44
Ga 0.0000 0.0000 0.5000  2 Pd 2.44
Ga 0.5000 0.0000 0.0000  2 Pd 2.44


A plane-wave DFT calculation with GGA-PBEsol was carried out for LaAlRe after structural relaxation.

Values from the calculation:
The total energy comes out at -7.3862 eV per atom. The density of states at the Fermi level comes out at 2.74 states/eV per cell. Its mass density is 8.9 Mg/m³. The calculated formation energy is 0.6 eV per formula unit. Its relative energy among the computed polymorphs is 0.0 meV/atom.

Lattice parameters (Å, degrees): 3.9520 4.3777 4.3777 120.00 90.00 90.00
Last column: nearest neighbours and their distance in Å.
Fractional positions:
Al 0.5000 0.0000 0.0000  3 Re 2.53
Re 0.5000 0.3333 0.6667  3 Al 2.53
La 0.0000 0.6667 0.3333  6 Re 3.21, 6 Al 3.21


A plane-wave DFT calculation with GGA-PBEsol was carried out for Na3AuO3 after structural relaxation.

Values from the calculation:
The total energy comes out at -4.4884 eV per atom. For the uncorrected formation energy, the calculation gives -1.0782 eV/atom. The density of states at the Fermi level comes out at 0.00 states/eV per cell. Its mass density is 5.2 Mg/m³.

Lattice parameters (Å, degrees): 4.5260 9.3906 9.3906 90.00 90.00 90.00
Last column: nearest neighbours and their distance in Å.
Fractional positions:
Au 0.5000 0.1162 0.8838  4 O 1.99-2.05
Au 0.0000 0.6162 0.6162  4 O 1.99-2.05
O 0.0000 0.1723 0.3855  1 Au 1.99
Na 0.5000 0.8779 0.6248  3 O 2.27-2.31
Na 0.0000 0.6221 0.1248  3 O 2.27-2.31
Na 0.0000 0.1248 0.6221  3 O 2.27-2.31
O 0.0000 0.8277 0.6145  1 Au 1.99
O 0.0000 0.3855 0.1723  1 Au 1.99
O 0.0000 0.3980 0.6020  2 Au 2.05
O 0.5000 0.1145 0.6723  1 Au 1.99
O 0.5000 0.8980 0.8980  2 Au 2.05
Na 0.0000 0.3779 0.8752  3 O 2.27-2.31
Na 0.5000 0.6248 0.8779  3 O 2.27-2.31
Na 0.0000 0.8550 0.8550  4 O 2.27-2.33
Au 0.5000 0.8838 0.1162  4 O 1.99-2.05
O 0.5000 0.6723 0.1145  1 Au 1.99
Na 0.5000 0.6450 0.3550  4 O 2.27-2.33
Na 0.5000 0.3550 0.6450  4 O 2.27-2.33
O 0.5000 0.8855 0.3277  1 Au 1.99
Au 0.0000 0.3838 0.3838  4 O 1.99-2.05
O 0.0000 0.6020 0.3980  2 Au 2.05
Na 0.0000 0.1450 0.1450  4 O 2.27-2.33
O 0.0000 0.6145 0.8277  1 Au 1.99
Na 0.5000 0.1221 0.3752  3 O 2.27-2.31
O 0.5000 0.1020 0.1020  2 Au 2.05
Na 0.5000 0.3752 0.1221  3 O 2.27-2.31
Na 0.0000 0.8752 0.3779  3 O 2.27-2.31
O 0.5000 0.3277 0.8855  1 Au 1.99


A plane-wave DFT calculation with GGA-PBEsol was carried out for Rb2SiTeRu after structural relaxation.

Values from the calculation:
The total energy comes out at -3.3245 eV per atom. For the uncorrected formation energy, the calculation gives 0.9746 eV/atom. The density of states at the Fermi level comes out at 4.48 states/eV per cell. Its mass density is 3.1 Mg/m³.

Lattice parameters (Å, degrees): 4.8649 6.8559 6.8559 90.00 90.00 90.00
Last column: nearest neighbours and their distance in Å.
Fractional positions:
Si 0.5000 0.5000 0.5000  8 Rb 4.20
Rb 0.0000 0.5000 0.0000  2 Te 3.43
Rb 0.0000 0.0000 0.5000  2 Te 3.43
Te 0.0000 0.0000 0.0000  2 Ru 2.43
Ru 0.5000 0.0000 0.0000  2 Te 2.43


A plane-wave DFT calculation with GGA-PBEsol was carried out for MnCuP2 after structural relaxation.

Values from the calculation:
The total energy comes out at -6.5495 eV per atom. The density of states at the Fermi level comes out at 1.28 states/eV per cell. Its mass density is 6.1 Mg/m³. The calculated formation energy is -0.5 eV per formula unit.

Lattice parameters (Å, degrees): 2.6390 2.7394 6.8391 89.80 90.00 90.00
Last column: nearest neighbours and their distance in Å.
Fractional positions:
Cu 0.5000 0.0000 0.5000  4 P 2.43, 2 Cu 2.64
P 0.0000 0.0016 0.7975  4 Mn 2.35, 2 Cu 2.43
P 0.0000 0.9984 0.2025  4 Mn 2.35, 2 Cu 2.43
Mn 0.5000 0.5000 0.0000  8 P 2.35


A plane-wave DFT calculation with GGA-PBEsol was carried out for TlOs2Cl2 after structural relaxation.

Values from the calculation:
The total energy comes out at -5.2819 eV per atom. For the uncorrected formation energy, the calculation gives 0.9337 eV/atom. The density of states at the Fermi level comes out at 3.44 states/eV per cell. Its mass density is 12.0 Mg/m³.

Lattice parameters (Å, degrees): 4.0686 4.0686 6.1892 109.19 109.19 90.00
Last column: nearest neighbours and their distance in Å.
Fractional positions:
Cl 0.7500 0.2500 0.5000  4 Os 2.58, 4 Cl 2.88
Os 0.3952 0.3952 0.7904  1 Os 2.30
Tl 0.0000 0.0000 0.0000  8 Os 3.10, 8 Cl 3.41
Cl 0.2500 0.7500 0.5000  4 Os 2.58, 4 Cl 2.88
Os 0.6048 0.6048 0.2096  1 Os 2.30


A plane-wave DFT calculation with GGA-PBEsol was carried out for MnCo2Rh after structural relaxation.

Values from the calculation:
The total energy comes out at -8.0997 eV per atom. The density of states at the Fermi level comes out at 6.05 states/eV per cell. Its mass density is 9.7 Mg/m³. The calculated formation energy is 1.0 eV per formula unit.

Lattice parameters (Å, degrees): 2.5288 2.5288 8.0825 90.00 90.00 113.71
Last column: nearest neighbours and their distance in Å.
Fractional positions:
Co 0.0000 0.0000 0.9868  6 Co 2.36-2.53, 2 Rh 2.55
Rh 0.5000 0.5000 0.2516  2 Mn 2.51, 6 Rh 2.53-2.77, 2 Co 2.55
Co 0.5000 0.5000 0.7503  6 Co 2.36-2.53, 2 Mn 2.38
Mn 0.0000 0.0000 0.5113  2 Co 2.38, 2 Rh 2.51, 4 Mn 2.53


A plane-wave DFT calculation with GGA-PBEsol was carried out for GeAuSe2Br after structural relaxation.

Values from the calculation:
The total energy comes out at -3.1195 eV per atom. For the uncorrected formation energy, the calculation gives 0.5672 eV/atom. The density of states at the Fermi level comes out at 4.93 states/eV per cell. Its mass density is 6.9 Mg/m³.

Lattice parameters (Å, degrees): 4.9215 4.9215 5.0275 90.00 90.00 90.00
Last column: nearest neighbours and their distance in Å.
Fractional positions:
Ge 0.0000 0.0000 0.0000  4 Se 2.46, 2 Br 2.51
Br 0.0000 0.0000 0.5000  2 Ge 2.51
Au 0.5000 0.5000 0.5000  4 Br 3.48, 8 Se 3.52
Se 0.5000 0.0000 0.0000  2 Ge 2.46
Se 0.0000 0.5000 0.0000  2 Ge 2.46